Entry 1:
Below is a relaxed structure of Tb4DyTm3, with properties calculated at the PBE level.

Cell: 5.573 25.806 3.549 Å, 90.00 90.00 90.00°
Space group Cmmm (No. 65)
One atom of each set of equivalent atoms:
Tb 0.000 0.103 0.000
Tb 0.000 0.223 0.000
Dy 0.000 0.000 0.500
Tm 0.000 0.345 0.500
Tm 0.000 0.500 0.000

Values from the calculation:
Calculated density = 8.49 Mg/m³
VASP energy = -4.3561 eV per atom
Energy relative to the elements = 0.211 eV per atom
M_tot = 0.00 μB per cell
Density of states at the Fermi level = 1.456 states/eV per atom


Entry 2:
Below is a relaxed structure of LaCuOsO2, with properties calculated at the PBE level.

Cell: 3.885 3.885 6.081 Å, 90.00 90.00 90.00°
Space group P4/mmm (No. 123)
One atom of each set of equivalent atoms:
La 0.000 0.000 0.000
Cu 0.500 0.500 0.000
Os 0.000 0.000 0.500
O 0.000 0.500 0.500

Values from the calculation:
Calculated density = 7.68 Mg/m³
VASP energy = -6.3694 eV per atom
M_tot = 0.00 μB per cell
Density of states at the Fermi level = 0.534 states/eV per atom


Entry 3:
Below is a relaxed structure of SiSnSe3, with properties calculated at the PBE level.

Cell: 8.039 8.131 8.069 Å, 90.00 90.00 90.00°
Space group Ima2 (No. 46)
One atom of each set of equivalent atoms:
Si 0.250 0.181 0.000
Sn 0.250 0.638 0.647
Se 0.028 0.716 0.942
Se 0.250 0.101 0.710

Values from the calculation:
Calculated density = 4.83 Mg/m³
VASP energy = -3.9640 eV per atom
M_tot = 0.00 μB per cell
Density of states at the Fermi level = 0.618 states/eV per atom


Entry 4:
Below is a relaxed structure of Pm2Dy9Th, with properties calculated at the PBE level.

Cell: 5.037 5.037 15.111 Å, 90.00 90.00 90.00°
Space group P4/mmm (No. 123)
One atom of each set of equivalent atoms:
Pm 0.000 0.000 0.168
Dy 0.000 0.500 0.000
Dy 0.000 0.500 0.336
Dy 0.500 0.500 0.166
Dy 0.500 0.500 0.500
Th 0.000 0.000 0.500

Values from the calculation:
Calculated density = 8.59 Mg/m³
VASP energy = -4.8379 eV per atom
Energy relative to the elements = 0.024 eV per atom
M_tot = 0.00 μB per cell
Density of states at the Fermi level = 1.388 states/eV per atom


Entry 5:
Below is a relaxed structure of Ce3AlTe6, with properties calculated at the PBE level.

Cell: 12.401 15.253 7.426 Å, 90.00 90.00 90.00°
Space group Cmc2_1 (No. 36)
One atom of each set of equivalent atoms:
Ce 0.000 0.098 0.000
Ce 0.178 0.403 0.897
Al 0.000 0.296 0.353
Te 0.000 0.278 0.708
Te 0.000 0.459 0.216
Te 0.163 0.035 0.699
Te 0.170 0.234 0.181

Values from the calculation:
Calculated density = 5.74 Mg/m³
VASP energy = -5.1508 eV per atom
M_tot = 12.05 μB per cell
Density of states at the Fermi level = 2.222 states/eV per atom


Entry 6:
Below is a relaxed structure of Pm6Te3As2S, with properties calculated at the PBE level.

Cell: 19.033 4.270 8.754 Å, 90.00 105.53 90.00°
Space group C2/m (No. 12)
One atom of each set of equivalent atoms:
Pm 0.006 0.000 0.224
Pm 0.156 0.500 0.097
Pm 0.173 0.500 0.566
Te 0.000 0.500 0.500
Te 0.168 0.000 0.834
As 0.166 0.000 0.332
S 0.000 0.500 0.000

Values from the calculation:
Calculated density = 6.95 Mg/m³
VASP energy = -5.8865 eV per atom
M_tot = 0.00 μB per cell
Density of states at the Fermi level = 0.358 states/eV per atom


Entry 7:
Below is a relaxed structure of Pm4AlZn2Ag, with properties calculated at the PBE level.

Cell: 5.2076 5.2076 25.6960 Å, 90.00 90.00 120.00°
Space group R-3m (No. 166, hexagonal axes)
One atom of each set of equivalent atoms:
Pm 0.0000 0.0000 0.1241
Pm 0.0000 0.0000 0.3744
Al 0.0000 0.0000 0.0000
Zn 0.0000 0.0000 0.2518
Ag 0.0000 0.0000 0.5000

Values from the calculation:
Calculated density = 6.98 Mg/m³
VASP energy = -3.8315 eV per atom
Energy relative to the elements = -0.314 eV per atom
M_tot = 0.00 μB per cell
Density of states at the Fermi level = 0.965 states/eV per atom


Entry 8:
Below is a relaxed structure of HfNbNi4, with properties calculated at the PBE level.

Cell: 6.862 6.862 6.862 Å, 90.00 90.00 90.00°
Space group F-43m (No. 216)
One atom of each set of equivalent atoms:
Hf 0.000 0.000 0.000
Nb 0.250 0.250 0.250
Ni 0.125 0.125 0.625

Values from the calculation:
Calculated density = 10.41 Mg/m³
VASP energy = -7.5040 eV per atom
Energy relative to the elements = -0.313 eV per atom
M_tot = 0.05 μB per cell
Density of states at the Fermi level = 1.430 states/eV per atom